(1)
4
Lattice="1.427 0.824 7.973 -1.427 0.824 7.973 0.000 -1.647 7.973" Properties=species:S:1:pos:R:3 comment="LiOsS2 (GGA-PBEsol, optimized geometry)" magmom_total_mub_per_cell=0.0 e_form_raw_ev_per_atom=-0.09 density_g_cm3=7.72 sg="R-3m (166)" dos_ef_per_ev_atom=0.647 pbc="T T T"
Li 0.000 0.000 0.000
Os 0.000 0.000 11.960
S 0.000 0.000 9.741
S 0.000 0.000 14.180

=====

(2)
5
Lattice="5.252 0.000 0.000 0.000 5.252 0.000 0.000 0.000 5.252" Properties=species:S:1:pos:R:3 comment="RbPb3F (GGA-PBEsol, optimized geometry)" magmom_total_mub_per_cell=0.0 e_form_raw_ev_per_atom=-0.43 density_g_cm3=8.32 sg="Pm-3m (221)" dos_ef_per_ev_atom=0.821 pbc="T T T"
Rb 0.000 0.000 0.000
Pb 0.000 2.626 2.626
Pb 2.626 0.000 2.626
Pb 2.626 2.626 0.000
F 2.626 2.626 2.626